No. 1
Computed, not measured: crystalline Rb2CaCd2O4 at its relaxed geometry at the GGA-PBE level of DFT.

Cell: 13.241 3.753 9.214 Å, 90.00 129.46 90.00°
Space group C2/m (No. 12)
Unique sites:
Rb 0.175 0.000 0.283
Ca 0.000 0.000 0.500
Cd 0.131 0.500 0.868
O 0.061 0.500 0.395
O 0.217 0.000 0.825

Results
**E_tot**: -4.33 eV per atom
**Formation energy without anion corrections**: -1.483 eV/atom



No. 2
Computed, not measured: crystalline ZrGaPb at its relaxed geometry at the GGA-PBE level of DFT.

Cell: 3.151 3.151 7.149 Å, 90.00 90.00 90.00°
Space group P4mm (No. 99)
Unique sites:
Zr 0.000 0.000 0.000
Ga 0.500 0.500 0.265
Pb 0.500 0.500 0.664

Results
**Calculated formation energy**: -3.3 kcal/mol of atoms
**E_tot**: -5.24 eV per atom
**DOS at the Fermi energy**: 2.5 states/eV/cell
**Energy above the most stable polymorph in this dataset**: 53.6 meV per atom



Repeat the first record exactly.
Computed, not measured: crystalline Rb2CaCd2O4 at its relaxed geometry at the GGA-PBE level of DFT.

Cell: 13.241 3.753 9.214 Å, 90.00 129.46 90.00°
Space group C2/m (No. 12)
Unique sites:
Rb 0.175 0.000 0.283
Ca 0.000 0.000 0.500
Cd 0.131 0.500 0.868
O 0.061 0.500 0.395
O 0.217 0.000 0.825

Results
**E_tot**: -4.33 eV per atom
**Formation energy without anion corrections**: -1.483 eV/atom



Q: Which formula does entry 1 have?
A: Rb2CaCd2O4



Q: E_tot of number 1 (Rb2CaCd2O4)?
A: -4.33 eV per atom